VASP calculation (PBE) on a geometry-optimized Ce3YSn12 structure.

abc: 4.7406 4.7406 18.6720
angles: 90.00 90.00 90.00
Fractional positions:
Ce (0.0000, 0.0000, 0.0000)
Ce (0.0000, 0.0000, 0.2490)
Ce (0.0000, 0.0000, 0.7510)
Y (0.0000, 0.0000, 0.5000)
Sn (0.0000, 0.5000, 0.1249)
Sn (0.0000, 0.5000, 0.3757)
Sn (0.0000, 0.5000, 0.6243)
Sn (0.0000, 0.5000, 0.8751)
Sn (0.5000, 0.0000, 0.1249)
Sn (0.5000, 0.0000, 0.3757)
Sn (0.5000, 0.0000, 0.6243)
Sn (0.5000, 0.0000, 0.8751)
Sn (0.5000, 0.5000, 0.0000)
Sn (0.5000, 0.5000, 0.2504)
Sn (0.5000, 0.5000, 0.5000)
Sn (0.5000, 0.5000, 0.7496)

Computed properties:
volume	26.23	Å³/atom
symmetry	P4/mmm (123)
M_tot	1.091	Bohr magnetons per cell
total DFT energy (no corrections)	-80.52	eV per formula unit
energy of formation from the pure elements	-514	meV/atom

VASP calculation (PBE) on a geometry-optimized Tb2DyHo6Er structure.

abc: 8.6964 8.6964 9.5067
angles: 94.14 94.14 118.03
Fractional positions:
Tb (0.1965, 0.3010, 0.0437)
Tb (0.3010, 0.1965, 0.5437)
Tb (0.6990, 0.8036, 0.4563)
Tb (0.8036, 0.6990, 0.9563)
Dy (0.0220, 0.9780, 0.2500)
Dy (0.9780, 0.0220, 0.7500)
Ho (0.0193, 0.5714, 0.1854)
Ho (0.1247, 0.7497, 0.5564)
Ho (0.2503, 0.8753, 0.9436)
Ho (0.2907, 0.5036, 0.3801)
Ho (0.4286, 0.9807, 0.3146)
Ho (0.4964, 0.7093, 0.1199)
Ho (0.5036, 0.2907, 0.8801)
Ho (0.5714, 0.0193, 0.6854)
Ho (0.7093, 0.4964, 0.6199)
Ho (0.7497, 0.1247, 0.0564)
Ho (0.8753, 0.2503, 0.4436)
Ho (0.9807, 0.4286, 0.8146)
Er (0.4084, 0.5916, 0.7500)
Er (0.5916, 0.4084, 0.2500)

Computed properties:
volume	31.42	Å³/atom
symmetry	C2/c (15)
M_tot	0.000	Bohr magnetons per cell
total DFT energy (no corrections)	-44.70	eV per formula unit
energy of formation from the pure elements	119	meV/atom

VASP calculation (PBE) on a geometry-optimized ZrIrW2 structure.

abc: 3.3284 4.4022 4.6420
angles: 90.00 90.00 90.00
Fractional positions:
Zr (0.0000, 0.0000, 0.0000)
Ir (0.5000, 0.5000, 0.0000)
W (0.0000, 0.5000, 0.5000)
W (0.5000, 0.0000, 0.5000)

Computed properties:
relative energy among the computed polymorphs	20.8	meV per atom
volume	17.00	Å³/atom
symmetry	Pmmm (47)
M_tot	0.000	Bohr magnetons per cell
total DFT energy (no corrections)	-43.75	eV per formula unit
energy of formation from the pure elements	-108	meV/atom

VASP calculation (PBE) on a geometry-optimized HfMgCoAu structure.

abc: 6.4580 6.4580 6.4580
angles: 90.00 90.00 90.00
Fractional positions:
Hf (0.0000, 0.0000, 0.0000)
Hf (0.0000, 0.5000, 0.5000)
Hf (0.5000, 0.0000, 0.5000)
Hf (0.5000, 0.5000, 0.0000)
Mg (0.0000, 0.0000, 0.5000)
Mg (0.0000, 0.5000, 0.0000)
Mg (0.5000, 0.0000, 0.0000)
Mg (0.5000, 0.5000, 0.5000)
Co (0.2500, 0.2500, 0.7500)
Co (0.2500, 0.7500, 0.2500)
Co (0.7500, 0.2500, 0.2500)
Co (0.7500, 0.7500, 0.7500)
Au (0.2500, 0.2500, 0.2500)
Au (0.2500, 0.7500, 0.7500)
Au (0.7500, 0.2500, 0.7500)
Au (0.7500, 0.7500, 0.2500)

Computed properties:
volume	16.83	Å³/atom
symmetry	F-43m (216)
M_tot	2.321	Bohr magnetons per cell
total DFT energy (no corrections)	-23.15	eV per formula unit
energy of formation from the pure elements	-305	meV/atom